# Tb2NdSnC PBE relaxed
# **Density of states at the Fermi level**: 2.3 states/eV per cell
# **Symmetry**: P4/mmm, No. 123
# **ΔH_f (0 K)**: -0.56 eV per atom
data_Tb2NdSnC
_chemical_formula_sum 'Tb2 Nd1 Sn1 C1'
_cell_length_a 5.096
_cell_length_b 4.934
_cell_length_c 4.934
_cell_angle_alpha 90.00
_cell_angle_beta 90.00
_cell_angle_gamma 90.00
_space_group_name_H-M_alt 'P 1'
_space_group_IT_number 1
_space_group_name_Hall 'P 1'
loop_
_atom_site_label
_atom_site_fract_x
_atom_site_fract_y
_atom_site_fract_z
Nd1 0.500 0.000 0.000
Sn1 0.500 0.500 0.500
C1 0.000 0.000 0.000
Tb1 0.000 0.500 0.000
Tb2 0.000 0.000 0.500